Compound: FeF
Source: Alexandria
Functional: PBE+U
Structure: relaxed

Results
E_tot = -4.9811 eV per atom

a b c (Å): 13.7205 4.4135 4.3236
angles (deg): 90.00 90.00 90.00
With the nearest neighbours (Å) after each atom.
Fractional coordinates of all 16 atoms:
Fe (0.6715, 0.5000, 0.0000)  2 F 1.96
Fe (0.3285, 0.5000, 0.0000)  2 F 1.96
F (0.5836, 0.7500, 0.2500)  2 Fe 1.96
Fe (0.3285, 0.0000, 0.5000)  2 F 1.96
Fe (0.8285, 0.5000, 0.5000)  2 F 1.96
F (0.5836, 0.2500, 0.7500)  2 Fe 1.96
F (0.0836, 0.7500, 0.7500)  2 Fe 1.96
Fe (0.1715, 0.5000, 0.5000)  2 F 1.96
F (0.9164, 0.2500, 0.7500)  2 Fe 1.96
F (0.4164, 0.2500, 0.2500)  2 Fe 1.96
Fe (0.8285, 0.0000, 0.0000)  2 F 1.96
Fe (0.6715, 0.0000, 0.5000)  2 F 1.96
F (0.0836, 0.2500, 0.2500)  2 Fe 1.96
Fe (0.1715, 0.0000, 0.0000)  2 F 1.96
F (0.4164, 0.7500, 0.7500)  2 Fe 1.96
F (0.9164, 0.7500, 0.2500)  2 Fe 1.96